# 1
Compound: La4DyY2Sc
Source: Alexandria
Functional: PBE
Structure: relaxed

Output
Formation enthalpy at 0 K (meV per atom): 35
DOS at the Fermi energy (states/eV per cell): 11.21
Electronic total energy (eV per formula unit): -43.29

abc: 5.2302 5.2161 11.0915
angles: 61.95 90.00 90.00
With the nearest neighbours (Å) after each atom.
Element x y z (fractional)
La1 0.0000 0.7549 0.7450  2 Sc 3.54, 4 Y 3.55-3.61, 2 Dy 3.62, 4 La 3.69
La2 0.0000 0.2451 0.2550  2 Sc 3.54, 4 Y 3.55-3.61, 2 Dy 3.62, 4 La 3.69
La3 0.5000 0.7452 0.2551  4 Y 3.54-3.62, 2 Sc 3.55, 2 Dy 3.61, 4 La 3.69
La4 0.5000 0.2548 0.7449  4 Y 3.54-3.62, 2 Sc 3.55, 2 Dy 3.61, 4 La 3.69
Dy1 0.5000 0.5000 0.0000  8 La 3.61-3.62, 4 Y 3.69
Y1 0.0000 0.0000 0.0000  8 La 3.61-3.62, 4 Dy 3.69
Y2 0.5000 0.0000 0.5000  8 La 3.54-3.55, 4 Sc 3.69
Sc1 0.0000 0.5000 0.5000  8 La 3.54-3.55, 4 Y 3.69

***

# 2
Compound: LaDyZrSc
Source: Alexandria
Functional: PBE
Structure: relaxed

Output
Formation enthalpy at 0 K (meV per atom): 187
DOS at the Fermi energy (states/eV per cell): 7.39
Electronic total energy (eV per formula unit): -23.66

abc: 5.4252 5.4252 5.4252
angles: 60.00 60.00 60.00
With the nearest neighbours (Å) after each atom.
Element x y z (fractional)
Sc1 0.0000 0.0000 0.0000  4 Zr 3.32, 4 La 3.32
La1 0.2500 0.2500 0.2500  4 Dy 3.32, 4 Sc 3.32
Zr1 0.7500 0.7500 0.7500  4 Dy 3.32, 4 Sc 3.32
Dy1 0.5000 0.5000 0.5000  4 Zr 3.32, 4 La 3.32

***

# 3
Compound: La2DySe3
Source: Alexandria
Functional: PBE
Structure: relaxed

Output
Offset from the most stable computed form (kJ/mol of formula units): 8
DOS at the Fermi energy (states/eV per cell): 3.62
Electronic total energy (eV per formula unit): -36.34
Energy relative to the elements, uncorrected (kJ/mol of atoms): -184

abc: 4.2123 6.0045 7.3531
angles: 114.10 106.64 90.00
With the nearest neighbours (Å) after each atom.
Element x y z (fractional)
La1 0.8297 0.8297 0.1595  6 Se 3.01-3.06
La2 0.1703 0.1703 0.8405  6 Se 3.01-3.06
Dy1 0.5000 0.5000 0.5000  6 Se 2.90-3.00
Se1 0.8439 0.3439 0.1878  2 Dy 2.90, 4 La 3.01-3.06
Se2 0.1561 0.6561 0.8122  2 Dy 2.90, 4 La 3.01-3.06
Se3 0.5000 0.0000 0.5000  2 Dy 3.00, 4 La 3.02

***

# 4
Compound: La4Dy3Se8
Source: Alexandria
Functional: PBE
Structure: relaxed

Output
Offset from the most stable computed form (kJ/mol of formula units): 0
DOS at the Fermi energy (states/eV per cell): 8.00
Electronic total energy (eV per formula unit): -89.87
Energy relative to the elements, uncorrected (kJ/mol of atoms): -183

abc: 8.4327 8.4002 8.4002
angles: 89.95 120.19 120.19
With the nearest neighbours (Å) after each atom.
Element x y z (fractional)
La1 0.5000 0.0000 0.0000  6 Se 3.04
La2 0.0000 0.5000 0.0000  6 Se 2.97
La3 0.0000 0.0000 0.0000  6 Se 3.04-3.05
La4 0.0000 0.0000 0.5000  6 Se 2.97
Dy1 0.5000 0.5000 0.0000  6 Se 2.97
Dy2 0.5000 0.0000 0.5000  6 Se 2.97
Dy3 0.5000 0.5000 0.5000  6 Se 2.89-2.90
Se1 0.5136 0.2628 0.2628  3 Dy 2.90-2.97, 2 La 3.04-3.05
Se2 0.0000 0.7436 0.2564  2 Dy 2.97, 3 La 2.97-3.04
Se3 0.0131 0.2620 0.2620  1 Dy 2.89, 4 La 2.97-3.04
Se4 0.5000 0.7440 0.2560  3 Dy 2.90-2.97, 3 La 2.97-3.04
Se5 0.5000 0.2560 0.7440  3 Dy 2.90-2.97, 3 La 2.97-3.04
Se6 0.9869 0.7380 0.7380  1 Dy 2.89, 4 La 2.97-3.04
Se7 0.0000 0.2564 0.7436  2 Dy 2.97, 3 La 2.97-3.04
Se8 0.4864 0.7372 0.7372  3 Dy 2.90-2.97, 2 La 3.04-3.05